--- 1 ---
Entry from the Alexandria database: a geometry-optimized La3Nd4In2 structure (PBE).

Cell: 9.696 9.696 6.549 Å, 94.27 94.27 91.45°
Fractional positions:
La 0.031 0.969 0.750
La 0.324 0.457 0.415
La 0.457 0.324 0.915
La 0.543 0.676 0.085
La 0.676 0.543 0.585
La 0.969 0.031 0.250
Nd 0.016 0.676 0.422
Nd 0.175 0.608 0.928
Nd 0.324 0.984 0.078
Nd 0.392 0.825 0.572
Nd 0.608 0.175 0.428
Nd 0.676 0.016 0.922
Nd 0.825 0.392 0.072
Nd 0.984 0.324 0.578
In 0.135 0.278 0.044
In 0.278 0.135 0.544
In 0.722 0.865 0.456
In 0.865 0.722 0.956

- V (Å³/f.u.) = 306.02



--- 2 ---
Entry from the Alexandria database: a geometry-optimized La3Nd4In2 structure (PBE).

Cell: 6.217 6.217 10.760 Å, 107.55 107.55 47.03°
Fractional positions:
La 0.000 0.000 0.000
La 0.327 0.327 0.453
La 0.673 0.673 0.547
Nd 0.012 0.012 0.676
Nd 0.330 0.330 0.110
Nd 0.670 0.670 0.890
Nd 0.988 0.988 0.324
In 0.337 0.337 0.783
In 0.663 0.663 0.217

- V (Å³/f.u.) = 287.44



If we sort the structures by their calculated energies, the order from most to least stable is 2, 1.